(1)
A plane-wave DFT calculation with PBE was carried out for crystalline TaSiF3 at its relaxed geometry.

a b c (Å): 4.290 4.290 4.290
angles (deg): 90.00 90.00 90.00
Atoms (fractional coordinates):
Ta1 0.000 0.000 0.000
Si1 0.500 0.500 0.500
F1 0.000 0.500 0.500
F2 0.500 0.000 0.500
F3 0.500 0.500 0.000

Output
* E above lowest polymorph: 770 meV/atom
* space-group type: Pm-3m


(2)
A plane-wave DFT calculation with PBE was carried out for crystalline TaSi2F at its relaxed geometry.

a b c (Å): 5.360 5.360 5.360
angles (deg): 108.24 108.24 111.96
Atoms (fractional coordinates):
Ta1 0.000 0.000 0.000
Ta2 0.750 0.250 0.500
Si1 0.191 0.125 0.566
Si2 0.375 0.809 0.934
Si3 0.559 0.625 0.434
Si4 0.875 0.441 0.066
F1 0.250 0.750 0.500
F2 0.500 0.500 0.000

Output
* space-group type: I-42d


(3)
A plane-wave DFT calculation with PBE was carried out for crystalline TaSi3F at its relaxed geometry.

a b c (Å): 4.877 4.877 4.877
angles (deg): 90.00 90.00 90.00
Atoms (fractional coordinates):
Ta1 0.000 0.000 0.000
Si1 0.000 0.000 0.500
Si2 0.000 0.500 0.000
Si3 0.500 0.000 0.000
F1 0.500 0.500 0.500

Output
* E above lowest polymorph: 141 meV/atom
* space-group type: Pm-3m


(4)
A plane-wave DFT calculation with PBE was carried out for crystalline TaSiF2 at its relaxed geometry.

a b c (Å): 10.349 10.349 10.349
angles (deg): 16.43 16.43 16.43
Atoms (fractional coordinates):
Ta1 0.000 0.000 0.000
Si1 0.500 0.500 0.500
F1 0.062 0.062 0.062
F2 0.938 0.938 0.938

Output
* E above lowest polymorph: 0 meV/atom
* space-group type: R-3m


What energy relative to the elements, uncorrected values result from the calculations? In sequence: -310; -58; 440; -1160 meV/atom.
What raw total energy values result from the calculations? In sequence: -4.888; -6.200; -5.558; -6.414 eV per atom.